# 1
# Na2FeSb2 (PBE-GGA, relaxed)
# Excess energy over the best structure of this formula in the dataset ... 48.9 kJ per mole of atoms
data_Na2FeSb2
_chemical_formula_sum 'Na4 Fe2 Sb4'
_space_group_name_H-M_alt 'I 4/m m m'
_space_group_IT_number 139
_space_group_name_Hall '-I 4 2'
_cell_length_a 3.759
_cell_length_b 3.759
_cell_length_c 16.388
_cell_angle_alpha 90.00
_cell_angle_beta 90.00
_cell_angle_gamma 90.00
loop_
_atom_site_label
_atom_site_type_symbol
_atom_site_fract_x
_atom_site_fract_y
_atom_site_fract_z
Na1 Na 0.000 0.500 0.250
Fe1 Fe 0.000 0.000 0.000
Sb1 Sb 0.000 0.000 0.411

***

# 2
A plane-wave DFT calculation with PBE-GGA was carried out for NaTa2FeSb after structural relaxation.

CIF file:
```
data_NaTa2FeSb
_chemical_formula_sum 'Na1 Ta2 Fe1 Sb1'
_space_group_name_H-M_alt 'P 4/m m m'
_space_group_IT_number 123
_space_group_name_Hall '-P 4 2'
_cell_length_a 5.142
_cell_length_b 5.142
_cell_length_c 4.639
_cell_angle_alpha 90.00
_cell_angle_beta 90.00
_cell_angle_gamma 90.00
loop_
_atom_site_label
_atom_site_type_symbol
_atom_site_fract_x
_atom_site_fract_y
_atom_site_fract_z
Na1 Na 0.000 0.000 0.000
Ta1 Ta 0.000 0.500 0.500
Fe1 Fe 0.500 0.500 0.000
Sb1 Sb 0.500 0.500 0.500
```

***

# 3
# NaFeSb2Te (PBE-GGA, relaxed)
# Excess energy over the best structure of this formula in the dataset ... 133.3 kJ per mole of atoms
data_NaFeSb2Te
_chemical_formula_sum 'Na1 Fe1 Sb2 Te1'
_space_group_name_H-M_alt 'P 4/m m m'
_space_group_IT_number 123
_space_group_name_Hall '-P 4 2'
_cell_length_a 5.299
_cell_length_b 5.299
_cell_length_c 5.354
_cell_angle_alpha 90.00
_cell_angle_beta 90.00
_cell_angle_gamma 90.00
loop_
_atom_site_label
_atom_site_type_symbol
_atom_site_fract_x
_atom_site_fract_y
_atom_site_fract_z
Na1 Na 0.000 0.000 0.000
Fe1 Fe 0.500 0.500 0.500
Sb1 Sb 0.000 0.500 0.000
Te1 Te 0.000 0.000 0.500

***

# 4
# NaFeSb2Te (PBE-GGA, relaxed)
# Excess energy over the best structure of this formula in the dataset ... 0.0 kJ per mole of atoms
data_NaFeSb2Te
_chemical_formula_sum 'Na1 Fe1 Sb2 Te1'
_space_group_name_H-M_alt 'P 4/m m m'
_space_group_IT_number 123
_space_group_name_Hall '-P 4 2'
_cell_length_a 4.808
_cell_length_b 4.808
_cell_length_c 5.979
_cell_angle_alpha 90.00
_cell_angle_beta 90.00
_cell_angle_gamma 90.00
loop_
_atom_site_label
_atom_site_type_symbol
_atom_site_fract_x
_atom_site_fract_y
_atom_site_fract_z
Na1 Na 0.000 0.000 0.000
Fe1 Fe 0.500 0.500 0.500
Sb1 Sb 0.000 0.500 0.500
Te1 Te 0.500 0.500 0.000

***

# 5
A plane-wave DFT calculation with PBE-GGA was carried out for Na2TlFeSb after structural relaxation.

CIF file:
```
data_Na2TlFeSb
_chemical_formula_sum 'Na2 Tl1 Fe1 Sb1'
_space_group_name_H-M_alt 'P 4/m m m'
_space_group_IT_number 123
_space_group_name_Hall '-P 4 2'
_cell_length_a 5.813
_cell_length_b 5.813
_cell_length_c 5.525
_cell_angle_alpha 90.00
_cell_angle_beta 90.00
_cell_angle_gamma 90.00
loop_
_atom_site_label
_atom_site_type_symbol
_atom_site_fract_x
_atom_site_fract_y
_atom_site_fract_z
Na1 Na 0.000 0.500 0.000
Tl1 Tl 0.000 0.000 0.000
Fe1 Fe 0.500 0.500 0.500
Sb1 Sb 0.000 0.000 0.500
```

***

# 6
A plane-wave DFT calculation with PBE-GGA was carried out for NaFeSb2W after structural relaxation.

CIF file:
```
data_NaFeSb2W
_chemical_formula_sum 'Na1 Fe1 Sb2 W1'
_space_group_name_H-M_alt 'P 4/m m m'
_space_group_IT_number 123
_space_group_name_Hall '-P 4 2'
_cell_length_a 4.872
_cell_length_b 4.872
_cell_length_c 4.855
_cell_angle_alpha 90.00
_cell_angle_beta 90.00
_cell_angle_gamma 90.00
loop_
_atom_site_label
_atom_site_type_symbol
_atom_site_fract_x
_atom_site_fract_y
_atom_site_fract_z
Na1 Na 0.000 0.000 0.000
Fe1 Fe 0.000 0.000 0.500
Sb1 Sb 0.000 0.500 0.500
W1 W 0.500 0.500 0.000
```

***

no.,calculated volume (Å³/cell),ΔE_f (raw) (meV per atom)
1,231.6,402
2,122.7,1770
3,150.3,1499
4,138.2,117
5,186.7,940
6,115.3,1240